DFT (PBE) results for Na3C2O8 after structural relaxation.

## Properties
M_tot, μB/atom: 0.2310
ΔE_f (raw), eV/atom: -1.28
Distance to the lowest polymorph of the same formula, meV/atom: 0

```
data_Na3C2O8
_space_group_name_H-M_alt 'C 1 2/c 1'
_space_group_IT_number 15
_cell_length_a 23.213
_cell_length_b 3.654
_cell_length_c 9.455
_cell_angle_alpha 90.00
_cell_angle_beta 109.48
_cell_angle_gamma 90.00
loop_
_space_group_symop_operation_xyz
'x,y,z'
'-x,-y,-z'
'-x,y,-z+1/2'
'x,-y,z+1/2'
'x+1/2,y+1/2,z'
'-x+1/2,-y+1/2,-z'
'-x+1/2,y+1/2,-z+1/2'
'x+1/2,-y+1/2,z+1/2'
loop_
_atom_site_label
_atom_site_type_symbol
_atom_site_fract_x
_atom_site_fract_y
_atom_site_fract_z
Na1 Na 0.000 0.185 0.250
Na2 Na 0.146 0.201 0.767
C1 C 0.092 0.257 0.020
O1 O 0.057 0.105 0.085
O2 O 0.073 0.326 0.879
O3 O 0.148 0.325 0.105
O4 O 0.232 0.257 0.434
```

---

DFT (PBE) results for SrAcScO4 after structural relaxation.

## Properties
M_tot, μB/atom: 0.0000
ΔE_f (raw), eV/atom: -3.25

```
data_SrAcScO4
_space_group_name_H-M_alt 'I 4 m m'
_space_group_IT_number 107
_space_group_name_Hall 'I 4 -2'
_cell_length_a 4.081
_cell_length_b 4.081
_cell_length_c 12.979
_cell_angle_alpha 90.00
_cell_angle_beta 90.00
_cell_angle_gamma 90.00
loop_
_atom_site_label
_atom_site_type_symbol
_atom_site_fract_x
_atom_site_fract_y
_atom_site_fract_z
Sr1 Sr 0.000 0.000 0.000
Ac1 Ac 0.000 0.000 0.286
Sc1 Sc 0.000 0.000 0.636
O1 O 0.000 0.000 0.474
O2 O 0.000 0.000 0.814
O3 O 0.000 0.500 0.150
```

---

DFT (PBE) results for Sc2Cu2Au after structural relaxation.

## Properties
M_tot, μB/atom: 0.0000
Calculated formation energy, eV/atom: -0.41
Distance to the lowest polymorph of the same formula, meV/atom: 13

```
data_Sc2Cu2Au
_space_group_name_H-M_alt 'C 1 2/m 1'
_space_group_IT_number 12
_cell_length_a 9.321
_cell_length_b 4.218
_cell_length_c 5.502
_cell_angle_alpha 90.00
_cell_angle_beta 126.02
_cell_angle_gamma 90.00
loop_
_space_group_symop_operation_xyz
'x,y,z'
'-x,-y,-z'
'-x,y,-z'
'x,-y,z'
'x+1/2,y+1/2,z'
'-x+1/2,-y+1/2,-z'
'-x+1/2,y+1/2,-z'
'x+1/2,-y+1/2,z'
loop_
_atom_site_label
_atom_site_type_symbol
_atom_site_fract_x
_atom_site_fract_y
_atom_site_fract_z
Sc1 Sc 0.208 0.000 0.208
Cu1 Cu 0.000 0.500 0.213
Au1 Au 0.000 0.000 0.500
```